# 1
An optimized crystal structure of TlMoPS2, computed with PBE.

Unit cell a=4.796 b=4.796 c=4.769 alpha=90.00 beta=90.00 gamma=90.00
Space group P4/mmm (No. 123)
Asymmetric unit:
1 Tl 0.000 0.000 0.000
2 Mo 0.500 0.500 0.500
3 P 0.500 0.500 0.000
4 S 0.000 0.500 0.500

Summary:
**Formation energy without anion corrections**: -0.003 eV/atom
**ρ**: 5.986 Mg/m³



# 2
An optimized crystal structure of Ba3CdSe4, computed with PBE.

Unit cell a=10.716 b=9.210 c=6.665 alpha=90.00 beta=90.00 gamma=90.00
Space group Pmn2_1 (No. 31)
Asymmetric unit:
1 Ba 0.000 0.139 0.000
2 Ba 0.240 0.331 0.502
3 Cd 0.000 0.818 0.430
4 Se 0.000 0.117 0.502
5 Se 0.000 0.806 0.022
6 Se 0.229 0.685 0.505

Summary:
**Formation energy without anion corrections**: -1.550 eV/atom
**ρ**: 4.242 Mg/m³



# 3
An optimized crystal structure of Tb3GeSeS, computed with PBE.

Unit cell a=8.202 b=4.142 c=12.015 alpha=90.00 beta=108.68 gamma=90.00
Space group P2_1/m (No. 11)
Asymmetric unit:
1 Tb 0.064 0.250 0.370
2 Tb 0.130 0.750 0.122
3 Tb 0.430 0.750 0.613
4 Ge 0.312 0.750 0.361
5 Se 0.190 0.250 0.630
6 S 0.075 0.750 0.884

Summary:
**Formation energy without anion corrections**: -1.347 eV/atom
**ρ**: 5.673 Mg/m³



# 4
An optimized crystal structure of Ag2H2Pd, computed with PBE.

Unit cell a=9.811 b=4.477 c=5.926 alpha=90.00 beta=116.56 gamma=90.00
Space group C2/m (No. 12)
Asymmetric unit:
1 Ag 0.011 0.000 0.265
2 Ag 0.176 0.500 0.106
3 H 0.016 0.500 0.704
4 H 0.170 0.000 0.137
5 Pd 0.160 0.500 0.594

Summary:
**DFT total energy**: -3.46 eV per atom
**ρ**: 9.247 Mg/m³



# 5
An optimized crystal structure of CsSnSbTe3, computed with PBE.

Unit cell a=9.922 b=4.459 c=12.296 alpha=90.00 beta=111.85 gamma=90.00
Space group P2_1/m (No. 11)
Asymmetric unit:
1 Cs 0.229 0.250 0.276
2 Sn 0.127 0.250 0.558
3 Sb 0.367 0.750 0.849
4 Te 0.129 0.250 0.794
5 Te 0.340 0.750 0.581
6 Te 0.403 0.750 0.101

Summary:
**Formation energy without anion corrections**: -0.463 eV/atom
**ρ**: 4.974 Mg/m³